Record 1
Material: BePRu2
Method: DFT, GGA-PBE
State: optimized geometry

Polymorph energy (0 for the lowest one)   22.8 kJ per mole of atoms

Cell lengths 7.0800, 7.0800, 7.0800 Å; angles 23.41, 23.41, 23.41 degrees
Positions (direct):
Be  0.0000  0.0000  0.0000
P  0.1658  0.1658  0.1658
Ru  0.5836  0.5836  0.5836
Ru  0.7484  0.7484  0.7484

---

Record 2
Material: CdF
Method: DFT, GGA-PBE
State: optimized geometry

Final energy   -44.39 eV for the cell shown

Cell lengths 9.6474, 9.6474, 3.2702 Å; angles 90.00, 90.00, 90.00 degrees
Positions (direct):
Cd  0.0276  0.3250  0.0000
Cd  0.3250  0.9724  0.0000
Cd  0.3384  0.3441  0.5000
Cd  0.3441  0.6616  0.5000
Cd  0.6559  0.3384  0.5000
Cd  0.6616  0.6559  0.5000
Cd  0.6750  0.0276  0.0000
Cd  0.9724  0.6750  0.0000
F  0.1075  0.5787  0.5000
F  0.1627  0.8122  0.0000
F  0.1878  0.1627  0.0000
F  0.4213  0.1075  0.5000
F  0.5787  0.8925  0.5000
F  0.8122  0.8373  0.0000
F  0.8373  0.1878  0.0000
F  0.8925  0.4213  0.5000

---

Record 3
Material: Rb4CdHg
Method: DFT, GGA-PBE
State: optimized geometry

Final energy   -11.03 eV for the cell shown

Cell lengths 10.4375, 10.4375, 8.0047 Å; angles 106.59, 106.59, 112.01 degrees
Positions (direct):
Rb  0.0562  0.6964  0.9064
Rb  0.2379  0.3675  0.7166
Rb  0.3036  0.9438  0.5936
Rb  0.3675  0.2379  0.2166
Rb  0.6325  0.7621  0.7834
Rb  0.6964  0.0562  0.4064
Rb  0.7621  0.6325  0.2834
Rb  0.9438  0.3036  0.0936
Cd  0.3646  0.6354  0.2500
Cd  0.6354  0.3646  0.7500
Hg  0.0009  0.9991  0.7500
Hg  0.9991  0.0009  0.2500

---

Record 4
Material: Ca2Cu3AgSb4
Method: DFT, GGA-PBE
State: optimized geometry

Final energy   -39.26 eV for the cell shown

Cell lengths 4.5067, 4.5067, 11.2761 Å; angles 90.00, 90.00, 90.00 degrees
Positions (direct):
Ca  0.0000  0.5000  0.2350
Ca  0.5000  0.0000  0.7650
Cu  0.0000  0.0000  0.0000
Cu  0.0000  0.5000  0.6334
Cu  0.5000  0.0000  0.3666
Ag  0.5000  0.5000  0.0000
Sb  0.0000  0.0000  0.5000
Sb  0.0000  0.5000  0.8575
Sb  0.5000  0.0000  0.1425
Sb  0.5000  0.5000  0.5000

---

Record 5
Material: TbPr2Er7
Method: DFT, GGA-PBE
State: optimized geometry

Polymorph energy (0 for the lowest one)   0.0 kJ per mole of atoms

Cell lengths 6.1504, 7.0998, 7.9426 Å; angles 77.16, 75.02, 73.37 degrees
Positions (direct):
Tb  0.0000  0.0000  0.0000
Pr  0.2017  0.2985  0.6013
Pr  0.7983  0.7015  0.3987
Er  0.0000  0.5000  0.0000
Er  0.1991  0.8000  0.6018
Er  0.3989  0.1013  0.1971
Er  0.3999  0.6007  0.1977
Er  0.6001  0.3993  0.8023
Er  0.6011  0.8987  0.8029
Er  0.8009  0.2000  0.3982

---

Record 6
Material: SiBiRh3
Method: DFT, GGA-PBE
State: optimized geometry

Polymorph energy (0 for the lowest one)   0.0 kJ per mole of atoms

Cell lengths 4.5119, 4.5119, 4.5119 Å; angles 90.00, 90.00, 90.00 degrees
Positions (direct):
Si  0.0000  0.0000  0.0000
Bi  0.5000  0.5000  0.5000
Rh  0.0000  0.0000  0.5000
Rh  0.0000  0.5000  0.0000
Rh  0.5000  0.0000  0.0000

---

Record 7
Material: Nb2V3C2
Method: DFT, GGA-PBE
State: optimized geometry

Final energy   -68.16 eV for the cell shown

Cell lengths 4.6326, 4.6326, 7.0060 Å; angles 114.64, 114.64, 38.57 degrees
Positions (direct):
Nb  0.1519  0.1519  0.2861
Nb  0.8481  0.8481  0.7139
V  0.3710  0.3710  0.0629
V  0.5000  0.5000  0.5000
V  0.6290  0.6290  0.9371
C  0.1387  0.1387  0.7385
C  0.8613  0.8613  0.2615

---

Record 8
Material: La6AsIr2Se3
Method: DFT, GGA-PBE
State: optimized geometry

Final energy   -80.50 eV for the cell shown

Cell lengths 9.7150, 9.7150, 8.8159 Å; angles 105.20, 105.20, 25.28 degrees
Positions (direct):
La  0.0098  0.0098  0.2508
La  0.3266  0.3266  0.4282
La  0.3327  0.3327  0.8945
La  0.6673  0.6673  0.1055
La  0.6734  0.6734  0.5718
La  0.9902  0.9902  0.7492
As  0.5000  0.5000  0.0000
Ir  0.1678  0.1678  0.3342
Ir  0.8322  0.8322  0.6658
Se  0.1615  0.1615  0.8375
Se  0.5000  0.5000  0.5000
Se  0.8385  0.8385  0.1625

---

no.,size of the total moment (μB per formula unit)
1,0.00
2,0.00
3,0.00
4,0.00
5,0.00
6,0.00
7,0.00
8,0.00